Record 1
A plane-wave DFT calculation with PBE-GGA was carried out for an optimized crystal structure of YScMo2.

## Properties
Energy relative to the lowest polymorph listed for this composition in meV per atom: 393
Space-group type: P4/mmm (123)
ΔH_f (0 K) in meV per atom: 455
Total energy in eV per atom: -8.1590
Crystal system: tetragonal
Spin magnetization in μB/cell: 0.00

```
4
Lattice="4.065 0.000 0.000 0.000 4.065 0.000 0.000 0.000 4.799" Properties=species:S:1:pos:R:3 pbc="T T T"
Y 0.000 0.000 0.000
Sc 2.033 2.033 0.000
Mo 0.000 2.033 2.400
Mo 2.033 0.000 2.400
```



Record 2
A plane-wave DFT calculation with PBE-GGA was carried out for an optimized crystal structure of Pm4ZnTe2S.

## Properties
Space-group type: P2/m (10)
Formation energy without anion corrections in eV per formula unit: -10.24
Total energy in eV per atom: -5.1160
Crystal system: monoclinic
Spin magnetization in μB/cell: 0.00

```
8
Lattice="7.469 0.000 0.000 0.000 4.191 0.000 -2.375 0.000 7.241" Properties=species:S:1:pos:R:3 pbc="T T T"
Pm 1.228 0.000 1.581
Pm 0.083 2.096 5.579
Pm 5.010 2.096 1.662
Pm 3.865 0.000 5.660
Zn 3.734 0.000 0.000
Te -1.188 0.000 3.621
Te 2.547 2.096 3.621
S 0.000 2.096 0.000
```